(1)
VASP calculation (PBE) on a geometry-optimized Nd4Si structure.

Lattice parameters (Å, degrees): 5.678 5.678 5.678 90.00 90.00 90.00
Space group Pm-3m (No. 221)
Unique sites:
Nd  0.000  0.000  0.000 [1 per cell]
Nd  0.000  0.500  0.500 [3 per cell]
Si  0.500  0.500  0.500 [1 per cell]

Summary:
The formation energy from raw total energies is 0.026 eV per atom. Its magnetization is 0.05 μB/atom. Its density of states at the Fermi level is 2.037 states/eV/atom. The value obtained for the electronic total energy is -24.37 eV per cell.

(2)
VASP calculation (PBE) on a geometry-optimized KPtBr structure.

Lattice parameters (Å, degrees): 6.424 10.746 4.889 90.00 90.00 90.00
Space group Imma (No. 74)
Unique sites:
K  0.000  0.000  0.000 [4 per cell]
Pt  0.000  0.250  0.325 [4 per cell]
Br  0.250  0.250  0.750 [4 per cell]

Summary:
As for the energy above the most stable polymorph in this dataset: 0.523 eV per atom. The formation energy from raw total energies is -0.148 eV per atom. Its magnetization is 0.00 μB/atom. Its density of states at the Fermi level is 0.014 states/eV/atom. The value obtained for the electronic total energy is -37.02 eV per cell.

Q: Look up the formation energy from raw total energies of the first one.
A: 0.026 eV per atom